[1]
! CsHgI2Cl | the Alexandria database | PBE | relaxed; values from VASP
! Total DFT energy (no corrections) (eV/atom): -2.09
! Space group: No. 123
! Magnetic moment (μB/f.u.): 0.00
! Formation energy (no corrections) (meV/atom): -870
&SYSTEM
  ibrav = 0, nat = 5, ntyp = 4
/
ATOMIC_SPECIES
Cs 132.91 Cs.upf
I 126.90 I.upf
Hg 200.59 Hg.upf
Cl 35.45 Cl.upf
CELL_PARAMETERS angstrom
-4.555 1.094 3.805
1.150 -5.184 2.868
3.470 2.646 3.392
ATOMIC_POSITIONS crystal
Cs 0.500 0.500 0.500
I 0.000 0.500 0.000
I 0.500 0.000 0.000
Hg 0.000 0.000 0.000
Cl 0.000 0.000 0.500

[2]
! CsHgICl | the Alexandria database | PBE | relaxed; values from VASP
! Total DFT energy (no corrections) (eV/atom): -1.84
! Space group: No. 216
! Magnetic moment (μB/f.u.): 0.00
! Formation energy (no corrections) (meV/atom): -703
&SYSTEM
  ibrav = 0, nat = 4, ntyp = 4
/
ATOMIC_SPECIES
Cs 132.91 Cs.upf
I 126.90 I.upf
Hg 200.59 Hg.upf
Cl 35.45 Cl.upf
CELL_PARAMETERS angstrom
5.936 0.000 0.000
2.968 5.141 0.000
2.968 1.714 4.847
ATOMIC_POSITIONS crystal
Cs 0.250 0.250 0.250
I 0.750 0.750 0.750
Hg 0.000 0.000 0.000
Cl 0.500 0.500 0.500